{"formula": "PrGaAu2", "functional": "PBE", "state": "optimized geometry", "lattice": [[4.2111, 0.0000, 0.0000], [0.0000, 4.6211, 0.0000], [0.0000, 0.0000, 4.6211]], "species": ["Pr", "Au", "Au", "Ga"], "fractional_positions": [[0.5000, 0.5000, 0.5000], [0.0000, 0.0000, 0.5000], [0.0000, 0.5000, 0.0000], [0.5000, 0.0000, 0.0000]], "rho_g_cm3": 11.164, "formation_energy_ev_per_atom": -0.4963, "space_group": "No. 123", "total_energy_ev_per_atom": -4.087}

---

{"formula": "KTcPd", "functional": "PBE", "state": "optimized geometry", "lattice": [[0.2768, 4.2735, -0.4151], [-3.1830, -1.7346, 2.3176], [3.0879, 0.2286, 4.4121]], "species": ["K", "Tc", "Pd"], "fractional_positions": [[0.6667, 0.3333, 0.5000], [0.0000, 0.0000, 0.0000], [0.3333, 0.6667, 0.0000]], "rho_g_cm3": 4.680, "polymorph_energy_mev_per_atom": 820, "formation_energy_ev_per_atom": 1.0640, "space_group": "No. 187", "total_energy_ev_per_atom": -4.488}

---

{"formula": "Y2BeIn", "functional": "PBE", "state": "optimized geometry", "lattice": [[-0.6990, 4.2008, 1.1077], [-3.6043, -0.2831, -1.2008], [-3.4456, -1.8194, 4.7254]], "species": ["Y", "Y", "Be", "In"], "fractional_positions": [[0.0000, 0.9653, 0.9440], [0.5000, 0.2773, 0.3204], [0.0000, 0.6949, 0.4862], [0.5000, 0.5626, 0.7495]], "rho_g_cm3": 5.133, "polymorph_energy_mev_per_atom": 66, "formation_energy_ev_per_atom": -0.1545, "space_group": "No. 38", "total_energy_ev_per_atom": -5.003}